# 1
Below is a crystal of Na2Ta3Se6 relaxed with PBEsol, with properties calculated at the SCAN level.

The space group is R32 (No. 155, hexagonal axes) and the conventional cell measures 5.9962, 5.9962 and 45.7211 Å, with angles of 90.00, 90.00 and 120.00 degrees. The asymmetric unit holds Na at (0.0000, 0.0000, 0.0831), Na at (0.0000, 0.0000, 0.4165), Ta at (0.0000, 0.0000, 0.0000), Ta at (0.0000, 0.0000, 0.3334), Ta at (0.0000, 0.3331, 0.5000), Se at (0.9997, 0.6679, 0.2027) and Se at (0.9996, 0.6693, 0.2972).

The value obtained for the energy relative to the elements, uncorrected is -1018 meV/atom.

# 2
Below is a crystal of Li3Al relaxed with PBEsol, with properties calculated at the SCAN level.

The space group is Imm2 (No. 44) and the conventional cell measures 3.080, 9.097 and 4.628 Å, with angles of 90.00, 90.00 and 90.00 degrees. The asymmetric unit holds Li at (0.000, 0.000, 0.000), Li at (0.000, 0.255, 0.503) and Al at (0.000, 0.500, 0.000).

For the formation energy, the calculation gives -0.089 eV per atom.

# 3
Below is a crystal of LiNiHg2 relaxed with PBEsol, with properties calculated at the SCAN level.

The space group is Imm2 (No. 44) and the conventional cell measures 3.790, 3.859 and 8.626 Å, with angles of 90.00, 90.00 and 90.00 degrees. The asymmetric unit holds Li at (0.000, 0.000, 0.000), Ni at (0.000, 0.500, 0.749), Hg at (0.000, 0.000, 0.498) and Hg at (0.000, 0.500, 0.249).

For the formation energy, the calculation gives -0.033 eV per atom.

Please write out number 3 again, unchanged.
Below is a crystal of LiNiHg2 relaxed with PBEsol, with properties calculated at the SCAN level.

The space group is Imm2 (No. 44) and the conventional cell measures 3.790, 3.859 and 8.626 Å, with angles of 90.00, 90.00 and 90.00 degrees. The asymmetric unit holds Li at (0.000, 0.000, 0.000), Ni at (0.000, 0.500, 0.749), Hg at (0.000, 0.000, 0.498) and Hg at (0.000, 0.500, 0.249).

For the formation energy, the calculation gives -0.033 eV per atom.

What is the formula in the second record? Li3Al

Please write out number 2 again, unchanged.
Below is a crystal of Li3Al relaxed with PBEsol, with properties calculated at the SCAN level.

The space group is Imm2 (No. 44) and the conventional cell measures 3.080, 9.097 and 4.628 Å, with angles of 90.00, 90.00 and 90.00 degrees. The asymmetric unit holds Li at (0.000, 0.000, 0.000), Li at (0.000, 0.255, 0.503) and Al at (0.000, 0.500, 0.000).

For the formation energy, the calculation gives -0.089 eV per atom.